Entry 1:
# Ti3SbH GGA-PBE optimized geometry
data_Ti3SbH
_chemical_formula_sum 'Ti6 Sb2 H2'
_symmetry_space_group_name_H-M 'P 1 21/m 1'
_symmetry_Int_Tables_number 11
_cell_length_a 4.778
_cell_length_b 5.643
_cell_length_c 5.390
_cell_angle_alpha 90.00
_cell_angle_beta 91.58
_cell_angle_gamma 90.00
loop_
_symmetry_equiv_pos_as_xyz
'x,y,z'
'-x,-y,-z'
'-x,y+1/2,-z'
'x,-y+1/2,z'
loop_
_atom_site_label
_atom_site_fract_x
_atom_site_fract_y
_atom_site_fract_z
Ti1 0.241 0.250 0.373
Ti2 0.247 0.511 0.851
Sb1 0.248 0.750 0.344
H1 0.454 0.250 0.082
# ΔE to the lowest computed polymorph: 102 meV per atom

Entry 2:
# Ti2SbH GGA-PBE optimized geometry
data_Ti2SbH
_chemical_formula_sum 'Ti6 Sb3 H3'
_symmetry_space_group_name_H-M 'R -3 m'
_symmetry_Int_Tables_number 166
_symmetry_space_group_name_Hall '-R 3 2"'
_cell_length_a 3.2281
_cell_length_b 3.2281
_cell_length_c 19.7808
_cell_angle_alpha 90.00
_cell_angle_beta 90.00
_cell_angle_gamma 120.00
loop_
_atom_site_label
_atom_site_fract_x
_atom_site_fract_y
_atom_site_fract_z
Ti1 0.0000 0.0000 0.2195
Sb1 0.0000 0.0000 0.0000
H1 0.0000 0.0000 0.5000
# ΔE to the lowest computed polymorph: 245 meV per atom

Entry 3:
# Ti3SbH GGA-PBE optimized geometry
data_Ti3SbH
_chemical_formula_sum 'Ti9 Sb3 H3'
_symmetry_space_group_name_H-M 'R 3 m'
_symmetry_Int_Tables_number 160
_symmetry_space_group_name_Hall 'R 3 -2"'
_cell_length_a 5.3664
_cell_length_b 5.3664
_cell_length_c 14.0925
_cell_angle_alpha 90.00
_cell_angle_beta 90.00
_cell_angle_gamma 120.00
loop_
_atom_site_label
_atom_site_fract_x
_atom_site_fract_y
_atom_site_fract_z
Ti1 0.1699 0.3398 0.0000
Sb1 0.0000 0.0000 0.1660
H1 0.0000 0.0000 0.4184
# ΔE to the lowest computed polymorph: 1068 meV per atom

Entry 4:
# Ti7TlSb2H2 GGA-PBE optimized geometry
data_Ti7TlSb2H2
_chemical_formula_sum 'Ti14 Tl2 Sb4 H4'
_symmetry_space_group_name_H-M 'C 1 2/m 1'
_symmetry_Int_Tables_number 12
_cell_length_a 5.659
_cell_length_b 5.658
_cell_length_c 12.121
_cell_angle_alpha 90.00
_cell_angle_beta 103.43
_cell_angle_gamma 90.00
loop_
_symmetry_equiv_pos_as_xyz
'x,y,z'
'-x,-y,-z'
'-x,y,-z'
'x,-y,z'
'x+1/2,y+1/2,z'
'-x+1/2,-y+1/2,-z'
'-x+1/2,y+1/2,-z'
'x+1/2,-y+1/2,z'
loop_
_atom_site_label
_atom_site_fract_x
_atom_site_fract_y
_atom_site_fract_z
Ti1 0.000 0.000 0.000
Ti2 0.155 0.250 0.809
Ti3 0.199 0.000 0.400
Tl1 0.000 0.500 0.000
Sb1 0.182 0.500 0.365
H1 0.083 0.000 0.167
# VASP energy: -154.1 eV per cell

Entry 5:
# Ti2VSbH GGA-PBE optimized geometry
data_Ti2VSbH
_chemical_formula_sum 'Ti2 V1 Sb1 H1'
_symmetry_space_group_name_H-M 'P 4/m m m'
_symmetry_Int_Tables_number 123
_symmetry_space_group_name_Hall '-P 4 2'
_cell_length_a 4.185
_cell_length_b 4.185
_cell_length_c 3.895
_cell_angle_alpha 90.00
_cell_angle_beta 90.00
_cell_angle_gamma 90.00
loop_
_atom_site_label
_atom_site_fract_x
_atom_site_fract_y
_atom_site_fract_z
Ti1 0.000 0.500 0.000
V1 0.000 0.000 0.500
Sb1 0.500 0.500 0.500
H1 0.000 0.000 0.000
# VASP energy: -34.2 eV per cell

Entry 6:
# Y2TiSbH GGA-PBE optimized geometry
data_Y2TiSbH
_chemical_formula_sum 'Y2 Ti1 Sb1 H1'
_symmetry_space_group_name_H-M 'P 4/m m m'
_symmetry_Int_Tables_number 123
_symmetry_space_group_name_Hall '-P 4 2'
_cell_length_a 4.748
_cell_length_b 4.748
_cell_length_c 4.341
_cell_angle_alpha 90.00
_cell_angle_beta 90.00
_cell_angle_gamma 90.00
loop_
_atom_site_label
_atom_site_fract_x
_atom_site_fract_y
_atom_site_fract_z
Y1 0.000 0.500 0.000
Ti1 0.000 0.000 0.500
Sb1 0.500 0.500 0.500
H1 0.000 0.000 0.000
# VASP energy: -30.4 eV per cell

Entry 7:
# Ti7ZnSb2H2 GGA-PBE optimized geometry
data_Ti7ZnSb2H2
_chemical_formula_sum 'Ti14 Zn2 Sb4 H4'
_symmetry_space_group_name_H-M 'C 1 2/m 1'
_symmetry_Int_Tables_number 12
_cell_length_a 5.598
_cell_length_b 5.597
_cell_length_c 11.913
_cell_angle_alpha 90.00
_cell_angle_beta 103.48
_cell_angle_gamma 90.00
loop_
_symmetry_equiv_pos_as_xyz
'x,y,z'
'-x,-y,-z'
'-x,y,-z'
'x,-y,z'
'x+1/2,y+1/2,z'
'-x+1/2,-y+1/2,-z'
'-x+1/2,y+1/2,-z'
'x+1/2,-y+1/2,z'
loop_
_atom_site_label
_atom_site_fract_x
_atom_site_fract_y
_atom_site_fract_z
Ti1 0.000 0.000 0.000
Ti2 0.161 0.250 0.821
Ti3 0.200 0.000 0.404
Zn1 0.000 0.500 0.000
Sb1 0.178 0.500 0.358
H1 0.083 0.000 0.167
# VASP energy: -153.0 eV per cell

Entry 8:
# Ti2ZnSbH GGA-PBE optimized geometry
data_Ti2ZnSbH
_chemical_formula_sum 'Ti2 Zn1 Sb1 H1'
_symmetry_space_group_name_H-M 'P 4/m m m'
_symmetry_Int_Tables_number 123
_symmetry_space_group_name_Hall '-P 4 2'
_cell_length_a 4.095
_cell_length_b 4.095
_cell_length_c 4.254
_cell_angle_alpha 90.00
_cell_angle_beta 90.00
_cell_angle_gamma 90.00
loop_
_atom_site_label
_atom_site_fract_x
_atom_site_fract_y
_atom_site_fract_z
Ti1 0.000 0.500 0.000
Zn1 0.000 0.000 0.500
Sb1 0.500 0.500 0.500
H1 0.000 0.000 0.000
# VASP energy: -25.6 eV per cell

Entry 9:
# ZrTi2SbH GGA-PBE optimized geometry
data_ZrTi2SbH
_chemical_formula_sum 'Zr1 Ti2 Sb1 H1'
_symmetry_space_group_name_H-M 'P 4/m m m'
_symmetry_Int_Tables_number 123
_symmetry_space_group_name_Hall '-P 4 2'
_cell_length_a 4.300
_cell_length_b 4.300
_cell_length_c 4.205
_cell_angle_alpha 90.00
_cell_angle_beta 90.00
_cell_angle_gamma 90.00
loop_
_atom_site_label
_atom_site_fract_x
_atom_site_fract_y
_atom_site_fract_z
Zr1 0.000 0.000 0.000
Ti1 0.000 0.500 0.500
Sb1 0.500 0.500 0.000
H1 0.000 0.000 0.500
# VASP energy: -34.1 eV per cell

Entry 10:
# Tl4SbH4 GGA-PBE optimized geometry
data_Tl4SbH4
_chemical_formula_sum 'Tl8 Sb2 H8'
_symmetry_space_group_name_H-M 'P 42/n'
_symmetry_Int_Tables_number 86
_cell_length_a 7.954
_cell_length_b 7.954
_cell_length_c 5.523
_cell_angle_alpha 90.00
_cell_angle_beta 90.00
_cell_angle_gamma 90.00
loop_
_symmetry_equiv_pos_as_xyz
'x,y,z'
'-x,-y,-z'
'-y,x+1/2,z+1/2'
'y,-x+1/2,-z+1/2'
'-x+1/2,-y+1/2,z'
'x+1/2,y+1/2,-z'
'y+1/2,-x,z+1/2'
'-y+1/2,x,-z+1/2'
loop_
_atom_site_label
_atom_site_fract_x
_atom_site_fract_y
_atom_site_fract_z
Tl1 0.045 0.679 0.246
Sb1 0.250 0.250 0.250
H1 0.026 0.363 0.250
# VASP energy: -48.0 eV per cell

Entry 11:
# TlSbH GGA-PBE optimized geometry
data_TlSbH
_chemical_formula_sum 'Tl2 Sb2 H2'
_symmetry_space_group_name_H-M 'C 1 m 1'
_symmetry_Int_Tables_number 8
_cell_length_a 7.529
_cell_length_b 5.479
_cell_length_c 4.452
_cell_angle_alpha 90.00
_cell_angle_beta 125.85
_cell_angle_gamma 90.00
loop_
_symmetry_equiv_pos_as_xyz
'x,y,z'
'x,-y,z'
'x+1/2,y+1/2,z'
'x+1/2,-y+1/2,z'
loop_
_atom_site_label
_atom_site_fract_x
_atom_site_fract_y
_atom_site_fract_z
Tl1 0.000 0.000 0.000
Sb1 0.001 0.500 0.385
H1 0.497 0.000 0.778
# ΔE to the lowest computed polymorph: 27 meV per atom

Entry 12:
# Tl5Sb2H4 GGA-PBE optimized geometry
data_Tl5Sb2H4
_chemical_formula_sum 'Tl5 Sb2 H4'
_symmetry_space_group_name_H-M 'P -1'
_symmetry_Int_Tables_number 2
_cell_length_a 6.509
_cell_length_b 6.705
_cell_length_c 6.732
_cell_angle_alpha 66.52
_cell_angle_beta 82.12
_cell_angle_gamma 71.94
loop_
_symmetry_equiv_pos_as_xyz
'x,y,z'
'-x,-y,-z'
loop_
_atom_site_label
_atom_site_fract_x
_atom_site_fract_y
_atom_site_fract_z
Tl1 0.000 0.000 0.000
Tl2 0.020 0.294 0.342
Tl3 0.488 0.226 0.708
Sb1 0.434 0.713 0.829
H1 0.087 0.248 0.868
H2 0.133 0.932 0.330
# VASP energy: -30.4 eV per cell